# SnSbH

Crystalline SnSbH at its relaxed geometry (GGA-PBE, Alexandria).

Geometry as CIF:
```
data_SnSbH
_cell_length_a 7.574
_cell_length_b 7.085
_cell_length_c 7.254
_cell_angle_alpha 90.00
_cell_angle_beta 113.44
_cell_angle_gamma 90.00
_symmetry_space_group_name_H-M 'P 1 21/c 1'
_symmetry_Int_Tables_number 14
loop_
_symmetry_equiv_pos_as_xyz
'x,y,z'
'-x,-y,-z'
'-x,y+1/2,-z+1/2'
'x,-y+1/2,z+1/2'
loop_
_atom_site_label
_atom_site_fract_x
_atom_site_fract_y
_atom_site_fract_z
_atom_site_occupancy
Sn1 0.014 0.249 0.005 1
Sb1 0.234 0.515 0.849 1
H1 0.481 0.550 0.496 1
```

Energy, eV per atom: -3.740


# SnSbH3

Crystalline SnSbH3 at its relaxed geometry (GGA-PBE, Alexandria).

Geometry as CIF:
```
data_SnSbH3
_cell_length_a 4.114
_cell_length_b 4.114
_cell_length_c 4.114
_cell_angle_alpha 90.00
_cell_angle_beta 90.00
_cell_angle_gamma 90.00
_symmetry_space_group_name_H-M 'P m -3 m'
_symmetry_Int_Tables_number 221
_symmetry_space_group_name_Hall '-P 4 2 3'
loop_
_atom_site_label
_atom_site_fract_x
_atom_site_fract_y
_atom_site_fract_z
_atom_site_occupancy
Sn1 0.000 0.000 0.000 1
Sb1 0.500 0.500 0.500 1
H1 0.000 0.500 0.500 1
```

Energy, eV per atom: -3.000


# SnSbH

Crystalline SnSbH at its relaxed geometry (GGA-PBE, Alexandria).

Geometry as CIF:
```
data_SnSbH
_cell_length_a 4.332
_cell_length_b 7.132
_cell_length_c 8.677
_cell_angle_alpha 90.00
_cell_angle_beta 90.00
_cell_angle_gamma 90.00
_symmetry_space_group_name_H-M 'A m m 2'
_symmetry_Int_Tables_number 38
loop_
_symmetry_equiv_pos_as_xyz
'x,y,z'
'-x,-y,z'
'-x,y,z'
'x,-y,z'
'x,y+1/2,z+1/2'
'-x,-y+1/2,z+1/2'
'-x,y+1/2,z+1/2'
'x,-y+1/2,z+1/2'
loop_
_atom_site_label
_atom_site_fract_x
_atom_site_fract_y
_atom_site_fract_z
_atom_site_occupancy
Sn1 0.000 0.225 0.000 1
Sb1 0.500 0.223 0.250 1
H1 0.000 0.000 0.517 1
H2 0.500 0.000 0.743 1
```

Energy, eV per atom: -3.642


# SnSbH

Crystalline SnSbH at its relaxed geometry (GGA-PBE, Alexandria).

Geometry as CIF:
```
data_SnSbH
_cell_length_a 4.333
_cell_length_b 4.333
_cell_length_c 7.099
_cell_angle_alpha 90.00
_cell_angle_beta 90.00
_cell_angle_gamma 90.00
_symmetry_space_group_name_H-M 'P 4/m m m'
_symmetry_Int_Tables_number 123
_symmetry_space_group_name_Hall '-P 4 2'
loop_
_atom_site_label
_atom_site_fract_x
_atom_site_fract_y
_atom_site_fract_z
_atom_site_occupancy
Sn1 0.000 0.000 0.225 1
Sb1 0.500 0.500 0.278 1
H1 0.000 0.000 0.500 1
H2 0.500 0.500 0.000 1
```

Energy, eV per atom: -3.632


# SnSbH

Crystalline SnSbH at its relaxed geometry (GGA-PBE, Alexandria).

Geometry as CIF:
```
data_SnSbH
_cell_length_a 5.578
_cell_length_b 4.414
_cell_length_c 6.926
_cell_angle_alpha 90.00
_cell_angle_beta 108.43
_cell_angle_gamma 90.00
_symmetry_space_group_name_H-M 'P 1 2/m 1'
_symmetry_Int_Tables_number 10
loop_
_symmetry_equiv_pos_as_xyz
'x,y,z'
'-x,-y,-z'
'-x,y,-z'
'x,-y,z'
loop_
_atom_site_label
_atom_site_fract_x
_atom_site_fract_y
_atom_site_fract_z
_atom_site_occupancy
Sn1 0.068 0.000 0.319 1
Sb1 0.379 0.500 0.282 1
H1 0.202 0.000 0.895 1
```

Energy, eV per atom: -3.667


# SnSbH

Crystalline SnSbH at its relaxed geometry (GGA-PBE, Alexandria).

Geometry as CIF:
```
data_SnSbH
_cell_length_a 3.045
_cell_length_b 6.159
_cell_length_c 7.152
_cell_angle_alpha 90.00
_cell_angle_beta 90.00
_cell_angle_gamma 90.00
_symmetry_space_group_name_H-M 'A m m 2'
_symmetry_Int_Tables_number 38
loop_
_symmetry_equiv_pos_as_xyz
'x,y,z'
'-x,-y,z'
'-x,y,z'
'x,-y,z'
'x,y+1/2,z+1/2'
'-x,-y+1/2,z+1/2'
'-x,y+1/2,z+1/2'
'x,-y+1/2,z+1/2'
loop_
_atom_site_label
_atom_site_fract_x
_atom_site_fract_y
_atom_site_fract_z
_atom_site_occupancy
Sn1 0.000 0.000 0.000 1
Sb1 0.000 0.000 0.447 1
H1 0.000 0.000 0.721 1
```

Energy, eV per atom: -3.612


# Sn2SbH

Crystalline Sn2SbH at its relaxed geometry (GGA-PBE, Alexandria).

Geometry as CIF:
```
data_Sn2SbH
_cell_length_a 10.171
_cell_length_b 5.281
_cell_length_c 3.247
_cell_angle_alpha 90.00
_cell_angle_beta 92.40
_cell_angle_gamma 90.00
_symmetry_space_group_name_H-M 'C 1 2/m 1'
_symmetry_Int_Tables_number 12
loop_
_symmetry_equiv_pos_as_xyz
'x,y,z'
'-x,-y,-z'
'-x,y,-z'
'x,-y,z'
'x+1/2,y+1/2,z'
'-x+1/2,-y+1/2,-z'
'-x+1/2,y+1/2,-z'
'x+1/2,-y+1/2,z'
loop_
_atom_site_label
_atom_site_fract_x
_atom_site_fract_y
_atom_site_fract_z
_atom_site_occupancy
Sn1 0.175 0.000 0.248 1
Sb1 0.000 0.500 0.000 1
H1 0.000 0.000 0.500 1
```

Energy, eV per atom: -3.629


# Sn2SbH

Crystalline Sn2SbH at its relaxed geometry (GGA-PBE, Alexandria).

Geometry as CIF:
```
data_Sn2SbH
_cell_length_a 7.203
_cell_length_b 7.203
_cell_length_c 7.203
_cell_angle_alpha 90.00
_cell_angle_beta 90.00
_cell_angle_gamma 90.00
_symmetry_space_group_name_H-M 'F m -3 m'
_symmetry_Int_Tables_number 225
_symmetry_space_group_name_Hall '-F 4 2 3'
loop_
_atom_site_label
_atom_site_fract_x
_atom_site_fract_y
_atom_site_fract_z
_atom_site_occupancy
Sn1 0.250 0.250 0.250 1
Sb1 0.000 0.000 0.000 1
H1 0.000 0.000 0.500 1
```

Energy, eV per atom: -3.445


# SnSbH3

Crystalline SnSbH3 at its relaxed geometry (GGA-PBE, Alexandria).

Geometry as CIF:
```
data_SnSbH3
_cell_length_a 4.077
_cell_length_b 4.077
_cell_length_c 4.077
_cell_angle_alpha 90.00
_cell_angle_beta 90.00
_cell_angle_gamma 90.00
_symmetry_space_group_name_H-M 'P m -3 m'
_symmetry_Int_Tables_number 221
_symmetry_space_group_name_Hall '-P 4 2 3'
loop_
_atom_site_label
_atom_site_fract_x
_atom_site_fract_y
_atom_site_fract_z
_atom_site_occupancy
Sn1 0.000 0.000 0.000 1
Sb1 0.500 0.500 0.500 1
H1 0.000 0.000 0.500 1
```

Energy, eV per atom: -2.936


# SnSbH

Crystalline SnSbH at its relaxed geometry (GGA-PBE, Alexandria).

Geometry as CIF:
```
data_SnSbH
_cell_length_a 3.6054
_cell_length_b 3.6054
_cell_length_c 5.3480
_cell_angle_alpha 90.00
_cell_angle_beta 90.00
_cell_angle_gamma 120.00
_symmetry_space_group_name_H-M 'P 3 m 1'
_symmetry_Int_Tables_number 156
loop_
_symmetry_equiv_pos_as_xyz
'x,y,z'
'-y,x-y,z'
'-x+y,-x,z'
'-y,-x,z'
'-x+y,y,z'
'x,x-y,z'
loop_
_atom_site_label
_atom_site_fract_x
_atom_site_fract_y
_atom_site_fract_z
_atom_site_occupancy
Sn1 0.0000 0.0000 0.0000 1
Sb1 0.6667 0.3333 0.5345 1
H1 0.3333 0.6667 0.0516 1
```

Energy, eV per atom: -3.455


no.,total magnetization (μB/atom)
1,0.000
2,0.000
3,0.000
4,0.000
5,0.000
6,0.000
7,0.000
8,0.000
9,0.000
10,0.000